Record 1
Material: Al2P3H9C3O9
Method: DFT, GGA-PBE
State: optimized geometry

Cell lengths 14.2591, 14.2591, 8.6957 Å; angles 90.00, 90.00, 120.00 degrees
Space group P31c (No. 159)
Asymmetric unit:
Al (0.0974, 0.4934, 0.0000) [6 per cell]
Al (0.3333, 0.6667, 0.4306) [2 per cell]
P (0.1351, 0.4853, 0.6415) [6 per cell]
P (0.1901, 0.7200, 0.1730) [6 per cell]
H (0.0422, 0.7078, 0.3206) [6 per cell]
H (0.0575, 0.7756, 0.1417) [6 per cell]
H (0.1381, 0.3271, 0.7294) [6 per cell]
H (0.1488, 0.8454, 0.2964) [6 per cell]
H (0.1658, 0.7806, 0.5605) [6 per cell]
H (0.1784, 0.7313, 0.7428) [6 per cell]
C (0.1010, 0.7667, 0.2394) [6 per cell]
C (0.1959, 0.4028, 0.6720) [6 per cell]
O (0.0290, 0.4128, 0.5508) [6 per cell]
O (0.1040, 0.5118, 0.8004) [6 per cell]
O (0.1162, 0.6113, 0.0901) [6 per cell]
O (0.1976, 0.4618, 0.0497) [6 per cell]
O (0.2093, 0.5888, 0.5569) [6 per cell]
O (0.2525, 0.7116, 0.3069) [6 per cell]

## Properties
**Total DFT energy (no corrections)**: -6.316 eV per atom
**Crystal system**: trigonal
**D(E_F)**: 0.00 states/eV/cell
**Volume**: 14.7 Å³ per atom

Record 2
Material: Pr2Dy3Tm6
Method: DFT, GGA-PBE
State: optimized geometry

Cell lengths 6.068, 10.522, 11.644 Å; angles 90.00, 100.07, 90.00 degrees
Space group C2/m (No. 12)
Asymmetric unit:
Pr (0.000, 0.167, 0.000) [4 per cell]
Dy (0.000, 0.000, 0.500) [2 per cell]
Dy (0.000, 0.335, 0.500) [4 per cell]
Tm (0.249, 0.167, 0.746) [8 per cell]
Tm (0.249, 0.500, 0.746) [4 per cell]

## Properties
**ΔE_f**: 0.1854 eV per atom
**Crystal system**: monoclinic
**D(E_F)**: 33.97 states/eV/cell
**Volume**: 33.3 Å³ per atom

Record 3
Material: Te2RhW
Method: DFT, GGA-PBE
State: optimized geometry

Cell lengths 6.825, 6.825, 6.825 Å; angles 90.00, 90.00, 90.00 degrees
Space group F-43m (No. 216)
Asymmetric unit:
Te (0.000, 0.000, 0.000) [4 per cell]
Te (0.250, 0.250, 0.250) [4 per cell]
Rh (0.000, 0.000, 0.500) [4 per cell]
W (0.250, 0.250, 0.750) [4 per cell]

## Properties
**Formation energy (no corrections)**: 0.900 eV/atom
**Crystal system**: cubic
**D(E_F)**: 9.46 states/eV/cell
**Volume**: 19.9 Å³ per atom

Record 4
Material: NaBi3Pb12
Method: DFT, GGA-PBE
State: optimized geometry

Cell lengths 5.958, 5.958, 14.212 Å; angles 90.00, 90.00, 90.00 degrees
Space group P4/mmm (No. 123)
Asymmetric unit:
Na (0.000, 0.000, 0.000) [1 per cell]
Bi (0.000, 0.000, 0.237) [2 per cell]
Bi (0.000, 0.000, 0.500) [1 per cell]
Pb (0.000, 0.500, 0.127) [4 per cell]
Pb (0.000, 0.500, 0.373) [4 per cell]
Pb (0.500, 0.500, 0.000) [1 per cell]
Pb (0.500, 0.500, 0.251) [2 per cell]
Pb (0.500, 0.500, 0.500) [1 per cell]

## Properties
**ΔE_f**: -0.0025 eV per atom
**Crystal system**: tetragonal
**D(E_F)**: 6.82 states/eV/cell
**Volume**: 31.5 Å³ per atom